1.
Density functional theory data (PBE-GGA) for an optimized crystal structure of ScSn3Rh4.

abc: 14.7458 4.4060 4.4058
angles: 90.00 107.31 90.00
Space group C2/m (No. 12)
Inequivalent atoms, fractional coordinates:
Sc  0.0000  0.0000  0.0000 x2
Sn  0.0000  0.5000  0.5000 x2
Sn  0.2484  0.0000  0.2486 x4
Rh  0.1257  0.0000  0.6253 x4
Rh  0.1257  0.5000  0.1252 x4

Output
* E_form: -59 kJ per mole of atoms
* E: -6.579 eV/atom
* crystal system: monoclinic
* total magnetic moment: 0.0 μB/f.u.


2.
Density functional theory data (PBE-GGA) for an optimized crystal structure of Zr7Ag6.

abc: 5.7160 5.7160 29.4759
angles: 90.00 90.00 120.00
Space group R-3m (No. 166, hexagonal axes)
Inequivalent atoms, fractional coordinates:
Zr  0.0000  0.0000  0.0000 x3
Zr  0.0036  0.5018  0.4138 x18
Ag  0.0000  0.0000  0.1666 x6
Ag  0.0000  0.0000  0.3491 x6
Ag  0.0000  0.0000  0.4541 x6

Output
* E_form: 28 kJ per mole of atoms
* E: -5.630 eV/atom
* crystal system: trigonal
* total magnetic moment: 0.0 μB/f.u.


3.
Density functional theory data (PBE-GGA) for an optimized crystal structure of Ba2CaGaN.

abc: 5.7199 5.7199 4.7483
angles: 90.00 90.00 90.00
Space group P4/mmm (No. 123)
Inequivalent atoms, fractional coordinates:
Ba  0.0000  0.5000  0.0000 x2
Ca  0.0000  0.0000  0.5000 x1
Ga  0.5000  0.5000  0.5000 x1
N  0.0000  0.0000  0.0000 x1

Output
* E: -3.796 eV/atom
* formation energy without anion corrections: -0.356 eV/atom
* distance to the lowest polymorph of the same formula: 0.000 eV per atom
* crystal system: tetragonal
* total magnetic moment: 0.0 μB/f.u.


4.
Density functional theory data (PBE-GGA) for an optimized crystal structure of KTaTc2.

abc: 2.9876 5.3854 9.5529
angles: 90.00 90.00 90.00
Space group Immm (No. 71)
Inequivalent atoms, fractional coordinates:
K  0.0000  0.0000  0.0000 x2
Ta  0.0000  0.0000  0.5000 x2
Tc  0.0000  0.5000  0.2217 x4

Output
* E_form: 116 kJ per mole of atoms
* E: -7.223 eV/atom
* distance to the lowest polymorph of the same formula: 0.640 eV per atom
* crystal system: orthorhombic
* total magnetic moment: 0.0 μB/f.u.


5.
Density functional theory data (PBE-GGA) for an optimized crystal structure of CdOsCl2.

abc: 5.9344 7.8893 3.1119
angles: 90.00 90.00 90.00
Space group Cmmm (No. 65)
Inequivalent atoms, fractional coordinates:
Cd  0.0000  0.0000  0.0000 x2
Os  0.0000  0.5000  0.0000 x2
Cl  0.2500  0.2500  0.5000 x4

Output
* E: -2.983 eV/atom
* formation energy without anion corrections: 0.977 eV/atom
* distance to the lowest polymorph of the same formula: 0.932 eV per atom
* crystal system: orthorhombic
* total magnetic moment: 0.4 μB/f.u.


6.
Density functional theory data (PBE-GGA) for an optimized crystal structure of Mn2IrN3.

abc: 9.1701 5.4731 4.9359
angles: 90.00 90.00 90.00
Space group Cmc2_1 (No. 36)
Inequivalent atoms, fractional coordinates:
Mn  0.1877  0.1637  0.0000 x8
Ir  0.0000  0.4010  0.5010 x4
N  0.0000  0.2515  0.8808 x4
N  0.1566  0.1544  0.3712 x8

Output
* E: -8.651 eV/atom
* formation energy without anion corrections: 0.045 eV/atom
* crystal system: orthorhombic
* total magnetic moment: 2.0 μB/f.u.


7.
Density functional theory data (PBE-GGA) for an optimized crystal structure of NaTi3Cl.

abc: 4.9398 4.9398 4.9398
angles: 90.00 90.00 90.00
Space group Pm-3m (No. 221)
Inequivalent atoms, fractional coordinates:
Na  0.0000  0.0000  0.0000 x1
Ti  0.0000  0.0000  0.5000 x3
Cl  0.5000  0.5000  0.5000 x1

Output
* E: -3.724 eV/atom
* formation energy without anion corrections: 1.646 eV/atom
* distance to the lowest polymorph of the same formula: 1.320 eV per atom
* crystal system: cubic
* total magnetic moment: 3.5 μB/f.u.


8.
Density functional theory data (PBE-GGA) for an optimized crystal structure of P3SeO.

abc: 4.2500 4.2500 4.2500
angles: 90.00 90.00 90.00
Space group Pm-3m (No. 221)
Inequivalent atoms, fractional coordinates:
P  0.0000  0.0000  0.5000 x3
Se  0.5000  0.5000  0.5000 x1
O  0.0000  0.0000  0.0000 x1

Output
* E: -4.134 eV/atom
* formation energy without anion corrections: 0.801 eV/atom
* distance to the lowest polymorph of the same formula: 0.000 eV per atom
* crystal system: cubic
* total magnetic moment: 0.0 μB/f.u.


9.
Density functional theory data (PBE-GGA) for an optimized crystal structure of CrTc2NiRu.

abc: 4.6154 4.6154 4.5712
angles: 90.00 90.00 90.00
Space group P4/mmm (No. 123)
Inequivalent atoms, fractional coordinates:
Cr  0.0000  0.0000  0.0000 x1
Tc  0.0000  0.5000  0.5000 x2
Ni  0.5000  0.5000  0.0000 x1
Ru  0.0000  0.0000  0.5000 x1

Output
* E_form: 169 kJ per mole of atoms
* E: -7.326 eV/atom
* crystal system: tetragonal
* total magnetic moment: 0.1 μB/f.u.


10.
Density functional theory data (PBE-GGA) for an optimized crystal structure of Nd8GaSe3I4.

abc: 8.6483 8.6483 23.0039
angles: 90.00 90.00 120.00
Space group R-3m (No. 166, hexagonal axes)
Inequivalent atoms, fractional coordinates:
Nd  0.0000  0.0000  0.2301 x6
Nd  0.0012  0.5006  0.2319 x18
Ga  0.0000  0.0000  0.5000 x3
Se  0.0000  0.5000  0.5000 x9
I  0.0000  0.0000  0.0000 x3
I  0.0000  0.5000  0.0000 x9

Output
* E: -4.850 eV/atom
* formation energy without anion corrections: -1.236 eV/atom
* crystal system: trigonal
* total magnetic moment: 0.0 μB/f.u.


11.
Density functional theory data (PBE-GGA) for an optimized crystal structure of RbPmHg2O4.

abc: 6.1861 6.7566 7.8249
angles: 90.00 90.00 90.00
Space group I222 (No. 23)
Inequivalent atoms, fractional coordinates:
Rb  0.0000  0.0000  0.0000 x2
Pm  0.0000  0.0000  0.5000 x2
Hg  0.0000  0.5000  0.2001 x4
O  0.2224  0.1649  0.3194 x8

Output
* E: -4.676 eV/atom
* formation energy without anion corrections: -1.407 eV/atom
* crystal system: orthorhombic
* total magnetic moment: 0.0 μB/f.u.


12.
Density functional theory data (PBE-GGA) for an optimized crystal structure of Zr2SbPb.

abc: 6.4737 7.5858 3.8195
angles: 90.00 90.00 90.00
Space group Cmmm (No. 65)
Inequivalent atoms, fractional coordinates:
Zr  0.2500  0.2500  0.0000 x4
Sb  0.0000  0.0000  0.5000 x2
Pb  0.0000  0.5000  0.5000 x2

Output
* E: -6.500 eV/atom
* formation energy without anion corrections: -0.268 eV/atom
* distance to the lowest polymorph of the same formula: 0.075 eV per atom
* crystal system: orthorhombic
* total magnetic moment: 0.0 μB/f.u.


13.
Density functional theory data (PBE-GGA) for an optimized crystal structure of MgScMn.

abc: 4.7138 4.7138 3.0676
angles: 90.00 90.00 120.00
Space group P3m1 (No. 156)
Inequivalent atoms, fractional coordinates:
Mg  0.0000  0.0000  0.0000 x1
Sc  0.3333  0.6667  0.5564 x1
Mn  0.6667  0.3333  0.1108 x1

Output
* E_form: 20 kJ per mole of atoms
* E: -5.496 eV/atom
* distance to the lowest polymorph of the same formula: 0.129 eV per atom
* crystal system: trigonal
* total magnetic moment: 2.6 μB/f.u.


14.
Density functional theory data (PBE-GGA) for an optimized crystal structure of Tb3Th.

abc: 5.0656 5.0656 10.0330
angles: 90.00 90.00 90.00
Space group I4/mmm (No. 139)
Inequivalent atoms, fractional coordinates:
Tb  0.0000  0.0000  0.0000 x2
Tb  0.0000  0.5000  0.2500 x4
Th  0.0000  0.0000  0.5000 x2

Output
* E_form: 5 kJ per mole of atoms
* E: -5.273 eV/atom
* distance to the lowest polymorph of the same formula: 0.033 eV per atom
* crystal system: tetragonal
* total magnetic moment: 0.0 μB/f.u.


15.
Density functional theory data (PBE-GGA) for an optimized crystal structure of LiAs2Pt.

abc: 2.9988 4.5474 11.0449
angles: 90.00 90.00 90.00
Space group Immm (No. 71)
Inequivalent atoms, fractional coordinates:
Li  0.0000  0.0000  0.0000 x2
As  0.0000  0.5000  0.1870 x4
Pt  0.0000  0.0000  0.5000 x2

Output
* E_form: -27 kJ per mole of atoms
* E: -4.596 eV/atom
* crystal system: orthorhombic
* total magnetic moment: 0.0 μB/f.u.


16.
Density functional theory data (PBE-GGA) for an optimized crystal structure of Te2MoAsI.

abc: 5.2477 5.2477 5.4187
angles: 90.00 90.00 90.00
Space group P4/mmm (No. 123)
Inequivalent atoms, fractional coordinates:
Te  0.0000  0.5000  0.0000 x2
Mo  0.0000  0.0000  0.0000 x1
As  0.5000  0.5000  0.5000 x1
I  0.0000  0.0000  0.5000 x1

Output
* E: -3.936 eV/atom
* formation energy without anion corrections: 0.727 eV/atom
* distance to the lowest polymorph of the same formula: 0.000 eV per atom
* crystal system: tetragonal
* total magnetic moment: 0.0 μB/f.u.


17.
Density functional theory data (PBE-GGA) for an optimized crystal structure of BaZrTl2Mo.

abc: 5.7743 5.7743 4.9622
angles: 90.00 90.00 90.00
Space group P4/mmm (No. 123)
Inequivalent atoms, fractional coordinates:
Ba  0.0000  0.0000  0.0000 x1
Zr  0.5000  0.5000  0.5000 x1
Tl  0.0000  0.5000  0.5000 x2
Mo  0.5000  0.5000  0.0000 x1

Output
* E_form: 54 kJ per mole of atoms
* E: -4.647 eV/atom
* crystal system: tetragonal
* total magnetic moment: 1.8 μB/f.u.


18.
Density functional theory data (PBE-GGA) for an optimized crystal structure of Pa6GeOs2.

abc: 5.8871 7.1641 11.2563
angles: 90.00 115.84 90.00
Space group P2_1/c (No. 14)
Inequivalent atoms, fractional coordinates:
Pa  0.0280  0.1836  0.4248 x4
Pa  0.2414  0.6405  0.4535 x4
Pa  0.3999  0.0578  0.2329 x4
Ge  0.5000  0.0000  0.5000 x2
Os  0.1663  0.1220  0.7455 x4

Output
* E_form: -9 kJ per mole of atoms
* E: -9.433 eV/atom
* crystal system: monoclinic
* total magnetic moment: 0.0 μB/f.u.


19.
Density functional theory data (PBE-GGA) for an optimized crystal structure of Cs2Rb3Au.

abc: 6.8703 6.8703 10.6342
angles: 90.00 90.00 120.00
Space group P-6m2 (No. 187)
Inequivalent atoms, fractional coordinates:
Cs  0.0000  0.0000  0.2073 x2
Rb  0.3333  0.6667  0.5000 x1
Rb  0.6667  0.3333  0.0000 x1
Rb  0.6667  0.3333  0.5000 x1
Au  0.3333  0.6667  0.0000 x1

Output
* E_form: 5 kJ per mole of atoms
* E: -1.267 eV/atom
* distance to the lowest polymorph of the same formula: 0.120 eV per atom
* crystal system: hexagonal
* total magnetic moment: 0.0 μB/f.u.


20.
Density functional theory data (PBE-GGA) for an optimized crystal structure of Nd2Dy8Sc3.

abc: 6.0643 6.0763 11.0425
angles: 90.14 100.45 99.54
Space group P-1 (No. 2)
Inequivalent atoms, fractional coordinates:
Nd  0.1159  0.2691  0.4606 x2
Dy  0.0417  0.4164  0.1464 x2
Dy  0.1926  0.1225  0.7809 x2
Dy  0.3469  0.8073  0.3771 x2
Dy  0.4239  0.6607  0.7019 x2
Sc  0.2743  0.9605  0.0727 x2
Sc  0.5000  0.5000  0.0000 x1

Output
* E_form: 4 kJ per mole of atoms
* E: -4.981 eV/atom
* distance to the lowest polymorph of the same formula: 0.000 eV per atom
* crystal system: triclinic
* total magnetic moment: 0.0 μB/f.u.